[1]
Entry from the Alexandria database: crystalline KNiAsO4 at its relaxed geometry (GGA+U). Values from VASP.

Its space-group type is P2_1/m. The calculation puts the energy above the most stable polymorph in this dataset at 10.15 kJ/mol of atoms. The total energy is -37.64 eV per formula unit. For the density of states at the Fermi level, the calculation gives 0.00 states/eV/f.u.

The structure in Quantum ESPRESSO input format:
```
&SYSTEM
  ibrav = 0, nat = 14, ntyp = 4
/
ATOMIC_SPECIES
O 16.00 O.upf
K 39.10 K.upf
As 74.92 As.upf
Ni 58.69 Ni.upf
ATOMIC_POSITIONS angstrom
O 1.864 1.451 6.545
O 3.844 0.159 4.970
O 3.844 2.742 4.970
O -0.383 5.644 2.365
O -0.383 3.060 2.365
O 1.796 4.352 3.688
O 1.665 1.451 3.647
O 1.597 4.352 0.790
K 1.330 1.451 0.387
K 2.131 4.352 6.947
As 0.823 4.352 2.291
As 2.639 1.451 5.044
Ni -0.298 1.451 3.610
Ni 3.760 4.352 3.725
CELL_PARAMETERS angstrom
5.392 0.000 0.138
0.000 5.803 0.000
-1.930 0.000 7.196
```



[2]
Entry from the Alexandria database: crystalline KVO2 at its relaxed geometry (GGA+U). Values from VASP.

Its space-group type is Amm2. The total energy is -24.67 eV per formula unit. For the density of states at the Fermi level, the calculation gives 0.07 states/eV/f.u.

The structure in Quantum ESPRESSO input format:
```
&SYSTEM
  ibrav = 0, nat = 4, ntyp = 3
/
ATOMIC_SPECIES
O 16.00 O.upf
K 39.10 K.upf
V 50.94 V.upf
ATOMIC_POSITIONS angstrom
O 0.781 -2.617 -0.739
O 3.744 -5.081 -1.573
K 2.669 -3.926 0.518
V -0.502 -1.745 -2.196
CELL_PARAMETERS angstrom
-1.528 -1.039 -2.360
4.768 -3.965 -1.342
-0.319 -1.289 2.677
```